(1)
First-principles (GGA-PBE) data for a relaxed TbPm3Y6 crystal, as listed in Alexandria via LeMat-Bulk.

Cell: 9.957 9.957 6.941 Å, 44.17 44.17 60.00°
Fractional coordinates of all 10 atoms:
Pm  0.349  0.349  0.952
Tb  0.849  0.849  0.452
Y  0.272  0.927  0.199
Y  0.098  0.428  0.700
Y  0.602  0.272  0.199
Pm  0.100  0.100  0.701
Y  0.773  0.098  0.700
Y  0.428  0.773  0.700
Pm  0.600  0.600  0.201
Y  0.927  0.602  0.199

Results
The calculated formation energy is 2.553 eV per formula unit. Its energy relative to the lowest polymorph listed for this composition is 1.13 eV per formula unit.


(2)
First-principles (GGA-PBE) data for a relaxed AcNdAlGe crystal, as listed in Alexandria via LeMat-Bulk.

Cell: 4.634 4.212 6.347 Å, 90.00 111.41 90.00°
Fractional coordinates of all 4 atoms:
Ge  0.327  0.000  0.655
Nd  0.030  0.000  0.061
Ac  0.748  0.500  0.496
Al  0.464  0.500  0.927

Results
The calculated formation energy is -2.368 eV per formula unit. Its energy relative to the lowest polymorph listed for this composition is 0.00 eV per formula unit.


(3)
First-principles (GGA-PBE) data for a relaxed TlVAsI6 crystal, as listed in Alexandria via LeMat-Bulk.

Cell: 7.440 7.440 7.679 Å, 90.00 90.00 60.00°
Fractional coordinates of all 9 atoms:
I  0.992  0.375  0.287
I  0.633  0.992  0.287
I  0.992  0.633  0.713
I  0.375  0.992  0.713
I  0.633  0.375  0.713
I  0.375  0.633  0.287
Tl  0.000  0.000  0.000
As  0.333  0.333  0.500
V  0.667  0.667  0.500

Results
For the formation energy from raw total energies, the calculation gives -359 meV/atom.


(4)
First-principles (GGA-PBE) data for a relaxed KBe2Zn crystal, as listed in Alexandria via LeMat-Bulk.

Cell: 5.723 6.029 2.544 Å, 79.38 86.76 117.56°
Fractional coordinates of all 4 atoms:
K  0.000  0.500  0.500
Be  0.500  0.000  0.500
Zn  0.500  0.500  0.000
Be  0.000  0.000  0.000

Results
The calculated formation energy is 4.264 eV per formula unit.


(5)
First-principles (GGA-PBE) data for a relaxed Cd2AuBr crystal, as listed in Alexandria via LeMat-Bulk.

Cell: 8.301 8.301 3.605 Å, 90.15 90.15 24.73°
Fractional coordinates of all 4 atoms:
Cd  0.815  0.815  0.635
Au  0.450  0.450  0.620
Cd  0.030  0.030  0.122
Br  0.205  0.205  0.122

Results
For the formation energy from raw total energies, the calculation gives -227 meV/atom. Its energy relative to the lowest polymorph listed for this composition is 0.10 eV per formula unit.


(6)
First-principles (GGA-PBE) data for a relaxed Tm4Ga2C crystal, as listed in Alexandria via LeMat-Bulk.

Cell: 4.785 4.785 7.817 Å, 72.18 72.18 90.00°
Fractional coordinates of all 7 atoms:
Ga  0.625  0.625  0.750
Tm  0.829  0.829  0.341
Tm  0.500  0.000  0.000
Tm  0.171  0.171  0.659
Tm  0.000  0.500  0.000
Ga  0.375  0.375  0.250
C  0.000  0.000  0.000

Results
The calculated formation energy is -3.165 eV per formula unit. Its energy relative to the lowest polymorph listed for this composition is 0.00 eV per formula unit.